# 1
{"formula": "CaPm6Ho5", "functional": "PBE", "state": "optimized geometry", "ef_ev_per_fu": 0.42, "vol_a3_per_atom": 33.2, "space_group": "C2/m (12)", "cell": [[5.9533, -5.4368, 0.0000], [5.9533, 5.4368, 0.0000], [-1.1087, 0.0000, 6.1608]], "species": ["Ca", "Pm", "Pm", "Pm", "Pm", "Pm", "Pm", "Ho", "Ho", "Ho", "Ho", "Ho"], "frac_coords": [[0.0000, 0.0000, 0.0000], [0.0833, 0.4243, 0.2521], [0.2523, 0.2523, 0.7403], [0.4243, 0.0833, 0.2521], [0.5757, 0.9167, 0.7479], [0.7477, 0.7477, 0.2597], [0.9167, 0.5757, 0.7479], [0.1715, 0.8285, 0.5000], [0.3386, 0.6614, 0.0000], [0.5000, 0.5000, 0.5000], [0.6614, 0.3386, 0.0000], [0.8285, 0.1715, 0.5000]]}

---

# 2
{"formula": "PrSiBPd6", "functional": "PBE", "state": "optimized geometry", "vol_a3_per_atom": 18.0, "formation_energy_uncorrected_mev_per_atom": -426, "space_group": "Imma (74)", "cell": [[-3.5349, 4.1254, 5.5601], [3.5349, -4.1254, 5.5601], [3.5349, 4.1254, -5.5601]], "species": ["Pr", "Pr", "Si", "Si", "B", "B", "Pd", "Pd", "Pd", "Pd", "Pd", "Pd", "Pd", "Pd", "Pd", "Pd", "Pd", "Pd"], "frac_coords": [[0.4327, 0.1827, 0.2500], [0.5673, 0.8173, 0.7500], [0.0000, 0.0000, 0.5000], [0.0000, 0.5000, 0.0000], [0.0000, 0.5000, 0.5000], [0.5000, 0.5000, 0.0000], [0.1073, 0.4097, 0.2657], [0.1073, 0.8417, 0.6976], [0.1411, 0.8911, 0.2500], [0.2953, 0.5453, 0.7500], [0.3560, 0.1583, 0.7657], [0.3560, 0.5903, 0.1976], [0.6440, 0.4097, 0.8024], [0.6440, 0.8417, 0.2343], [0.7047, 0.4547, 0.2500], [0.8589, 0.1089, 0.7500], [0.8927, 0.1583, 0.3024], [0.8927, 0.5903, 0.7343]]}

---

# 3
{"formula": "CrSbPb3", "functional": "PBE", "state": "optimized geometry", "vol_a3_per_atom": 29.5, "formation_energy_uncorrected_mev_per_atom": 413, "space_group": "Pm-3m (221)", "de_polymorph_mev_per_atom": 0, "cell": [[5.2856, 0.0000, 0.0000], [0.0000, 5.2856, 0.0000], [0.0000, 0.0000, 5.2856]], "species": ["Cr", "Sb", "Pb", "Pb", "Pb"], "frac_coords": [[0.0000, 0.0000, 0.0000], [0.5000, 0.5000, 0.5000], [0.0000, 0.0000, 0.5000], [0.0000, 0.5000, 0.0000], [0.5000, 0.0000, 0.0000]]}

---

# 4
{"formula": "Cs2TlSn2Te4", "functional": "PBE", "state": "optimized geometry", "vol_a3_per_atom": 41.9, "formation_energy_uncorrected_mev_per_atom": -548, "space_group": "C2/m (12)", "cell": [[8.2344, -2.9096, 0.0000], [8.2344, 2.9096, 0.0000], [-1.9021, 0.0000, 7.8743]], "species": ["Cs", "Cs", "Tl", "Sn", "Sn", "Te", "Te", "Te", "Te"], "frac_coords": [[0.1351, 0.1351, 0.0832], [0.8649, 0.8649, 0.9168], [0.0000, 0.0000, 0.5000], [0.3489, 0.3489, 0.4507], [0.6511, 0.6511, 0.5493], [0.2083, 0.2083, 0.6543], [0.4857, 0.4857, 0.7513], [0.5143, 0.5143, 0.2487], [0.7917, 0.7917, 0.3457]]}

---

# 5
{"formula": "LiY2H2", "functional": "PBE", "state": "optimized geometry", "vol_a3_per_atom": 17.6, "space_group": "I4/mmm (139)", "de_polymorph_mev_per_atom": 0, "cell": [[-1.8769, 1.8769, 6.2416], [1.8769, -1.8769, 6.2416], [1.8769, 1.8769, -6.2416]], "species": ["Li", "Y", "Y", "H", "H"], "frac_coords": [[0.0000, 0.0000, 0.0000], [0.3454, 0.3454, 0.0000], [0.6546, 0.6546, 0.0000], [0.2500, 0.7500, 0.5000], [0.7500, 0.2500, 0.5000]]}

---

# 6
{"formula": "HfScTcPt", "functional": "PBE", "state": "optimized geometry", "ef_ev_per_fu": -3.45, "vol_a3_per_atom": 17.6, "space_group": "P4mm (99)", "cell": [[3.3090, 0.0000, 0.0000], [0.0000, 3.3090, 0.0000], [0.0000, 0.0000, 6.4245]], "species": ["Hf", "Sc", "Tc", "Pt"], "frac_coords": [[0.0000, 0.0000, 0.0000], [0.0000, 0.0000, 0.4807], [0.5000, 0.5000, 0.2314], [0.5000, 0.5000, 0.7396]]}

---

# 7
{"formula": "Mg6Cd2In", "functional": "PBE", "state": "optimized geometry", "ef_ev_per_fu": 0.24, "vol_a3_per_atom": 26.0, "space_group": "C2/m (12)", "de_polymorph_mev_per_atom": 72, "cell": [[7.4891, -3.3817, 0.0000], [7.4891, 3.3817, 0.0000], [-1.5389, 0.0000, 4.6131]], "species": ["Mg", "Mg", "Mg", "Mg", "Mg", "Mg", "Cd", "Cd", "In"], "frac_coords": [[0.0879, 0.5752, 0.3327], [0.2478, 0.7522, 0.0000], [0.4248, 0.9121, 0.6673], [0.5752, 0.0879, 0.3327], [0.7522, 0.2478, 0.0000], [0.9121, 0.4248, 0.6673], [0.3336, 0.3336, 0.8345], [0.6664, 0.6664, 0.1655], [0.0000, 0.0000, 0.5000]]}

---

# 8
{"formula": "Pm2PuSi2", "functional": "PBE", "state": "optimized geometry", "vol_a3_per_atom": 26.4, "formation_energy_uncorrected_mev_per_atom": -364, "space_group": "P2_1/m (11)", "de_polymorph_mev_per_atom": 141, "cell": [[5.7728, 0.0000, 0.0000], [0.0000, 3.9828, 0.0000], [-0.9474, 0.0000, 11.5038]], "species": ["Pm", "Pm", "Pm", "Pm", "Pu", "Pu", "Si", "Si", "Si", "Si"], "frac_coords": [[0.0932, 0.2500, 0.3691], [0.2583, 0.2500, 0.0600], [0.7417, 0.7500, 0.9400], [0.9068, 0.7500, 0.6309], [0.4092, 0.2500, 0.7163], [0.5908, 0.7500, 0.2837], [0.2351, 0.7500, 0.8672], [0.3819, 0.7500, 0.5225], [0.6181, 0.2500, 0.4775], [0.7649, 0.2500, 0.1328]]}

---

# 9
{"formula": "Ta2PtAu", "functional": "PBE", "state": "optimized geometry", "ef_ev_per_fu": -0.62, "vol_a3_per_atom": 17.5, "space_group": "P4/mmm (123)", "cell": [[3.5331, 0.0000, 0.0000], [0.0000, 3.5331, 0.0000], [0.0000, 0.0000, 5.6092]], "species": ["Ta", "Ta", "Pt", "Au"], "frac_coords": [[0.0000, 0.0000, 0.2418], [0.0000, 0.0000, 0.7582], [0.5000, 0.5000, 0.0000], [0.5000, 0.5000, 0.5000]]}

---

# 10
{"formula": "CaAcZn2Pd2", "functional": "PBE", "state": "optimized geometry", "ef_ev_per_fu": -3.76, "vol_a3_per_atom": 23.1, "space_group": "P-3m1 (164)", "cell": [[4.4799, 0.0000, 0.0000], [-2.2400, 3.8797, 0.0000], [0.0000, 0.0000, 7.9644]], "species": ["Ca", "Ac", "Zn", "Zn", "Pd", "Pd"], "frac_coords": [[0.0000, 0.0000, 0.0000], [0.0000, 0.0000, 0.5000], [0.3333, 0.6667, 0.7792], [0.6667, 0.3333, 0.2208], [0.3333, 0.6667, 0.2397], [0.6667, 0.3333, 0.7603]]}

---

# 11
{"formula": "La3Sm2Tm6", "functional": "PBE", "state": "optimized geometry", "ef_ev_per_fu": 2.16, "vol_a3_per_atom": 34.3, "space_group": "C2/m (12)", "cell": [[3.0836, -5.3528, 0.0000], [3.0836, 5.3528, 0.0000], [-2.0750, 0.0000, 11.4131]], "species": ["La", "La", "La", "Sm", "Sm", "Tm", "Tm", "Tm", "Tm", "Tm", "Tm"], "frac_coords": [[0.0000, 0.0000, 0.0000], [0.3361, 0.6639, 0.0000], [0.6639, 0.3361, 0.0000], [0.1663, 0.8337, 0.5000], [0.8337, 0.1663, 0.5000], [0.0856, 0.4180, 0.2537], [0.2500, 0.2500, 0.7467], [0.4180, 0.0856, 0.2537], [0.5820, 0.9144, 0.7463], [0.7500, 0.7500, 0.2533], [0.9144, 0.5820, 0.7463]]}

---

# 12
{"formula": "TbYAlFe", "functional": "PBE", "state": "optimized geometry", "ef_ev_per_fu": -0.27, "vol_a3_per_atom": 22.1, "space_group": "F-43m (216)", "cell": [[0.0000, 3.5367, 3.5367], [3.5367, 0.0000, 3.5367], [3.5367, 3.5367, 0.0000]], "species": ["Tb", "Y", "Al", "Fe"], "frac_coords": [[0.0000, 0.0000, 0.0000], [0.5000, 0.5000, 0.5000], [0.2500, 0.2500, 0.2500], [0.7500, 0.7500, 0.7500]]}